(1)
# NdTh3Sn12

Crystalline NdTh3Sn12 at its relaxed geometry (PBE-GGA, Alexandria).

abc: 4.7948 4.7948 18.7247
angles: 90.00 90.00 90.00
Last column: nearest neighbours and their distance in Å.
Space group P4/mmm (No. 123)
Inequivalent atoms, fractional coordinates:
Nd1 0.0000 0.0000 0.0000 x1  12 Sn 3.35-3.39
Th1 0.0000 0.0000 0.2509 x2  12 Sn 3.34-3.39
Th2 0.0000 0.0000 0.5000 x1  12 Sn 3.35-3.39
Sn1 0.0000 0.5000 0.1250 x4  8 Sn 3.34-3.39, 2 Nd 3.35, 2 Th 3.36
Sn2 0.0000 0.5000 0.3750 x4  4 Th 3.34-3.35, 8 Sn 3.35-3.39
Sn3 0.5000 0.5000 0.0000 x1  8 Sn 3.35, 4 Nd 3.39
Sn4 0.5000 0.5000 0.2492 x2  8 Sn 3.34-3.36, 4 Th 3.39
Sn5 0.5000 0.5000 0.5000 x1  8 Sn 3.35, 4 Th 3.39

Results
**Theoretical density**: 8.737 g cm⁻³
**DFT total energy**: -5.154 eV/atom
**E_form**: -0.4628 eV per atom



(2)
# NdTh6Sn10

Crystalline NdTh6Sn10 at its relaxed geometry (PBE-GGA, Alexandria).

abc: 9.5749 9.5749 6.3152
angles: 90.00 90.00 120.00
Last column: nearest neighbours and their distance in Å.
Space group P-31m (No. 162)
Inequivalent atoms, fractional coordinates:
Nd1 0.0000 0.0000 0.0000 x1  6 Sn 3.14
Th1 0.0000 0.3848 0.7598 x6  9 Sn 3.24-3.43
Sn1 0.0000 0.2730 0.2755 x6  1 Nd 3.14, 5 Th 3.24-3.43
Sn2 0.3333 0.6667 0.0000 x2  2 Sn 3.16, 6 Th 3.34
Sn3 0.3333 0.6667 0.5000 x2  2 Sn 3.16, 6 Th 3.40

Results
**Theoretical density**: 9.020 g cm⁻³
**DFT total energy**: -5.731 eV/atom
**E_form**: -0.4768 eV per atom



(3)
# Nd2ThSn

Crystalline Nd2ThSn at its relaxed geometry (PBE-GGA, Alexandria).

abc: 4.9848 4.9848 4.8617
angles: 90.00 90.00 90.00
Last column: nearest neighbours and their distance in Å.
Space group P4/mmm (No. 123)
Inequivalent atoms, fractional coordinates:
Nd1 0.0000 0.5000 0.0000 x2  4 Sn 3.48, 4 Th 3.48, 4 Nd 3.52
Th1 0.0000 0.0000 0.5000 x1  8 Nd 3.48, 4 Sn 3.52
Sn1 0.5000 0.5000 0.5000 x1  8 Nd 3.48, 4 Th 3.52

Results
**Theoretical density**: 8.787 g cm⁻³
**DFT total energy**: -5.623 eV/atom
**E_form**: -0.3836 eV per atom



(4)
# Nd2Th3Sn4

Crystalline Nd2Th3Sn4 at its relaxed geometry (PBE-GGA, Alexandria).

abc: 8.7938 8.4745 8.3560
angles: 90.00 115.22 90.00
Last column: nearest neighbours and their distance in Å.
Space group P2_1/c (No. 14)
Inequivalent atoms, fractional coordinates:
Nd1 0.2139 0.1706 0.0495 x4  6 Sn 3.24-3.48
Th1 0.2351 0.6722 0.2082 x4  6 Sn 3.20-3.33
Th2 0.5000 0.0000 0.5000 x2  6 Sn 3.29-3.32
Sn1 0.0873 0.5170 0.8107 x4  4 Th 3.20-3.29, 3 Nd 3.26-3.46
Sn2 0.4927 0.1289 0.8706 x4  1 Sn 3.04, 5 Th 3.22-3.33, 2 Nd 3.24-3.39

Results
**Theoretical density**: 8.604 g cm⁻³
**DFT total energy**: -5.933 eV/atom
**E_form**: -0.6209 eV per atom



(5)
# Nd2ThSn

Crystalline Nd2ThSn at its relaxed geometry (PBE-GGA, Alexandria).

abc: 3.4621 3.4621 36.8683
angles: 90.00 90.00 120.00
Last column: nearest neighbours and their distance in Å.
Space group R-3m (No. 166, hexagonal axes)
Inequivalent atoms, fractional coordinates:
Nd1 0.0000 0.0000 0.0934 x6  3 Sn 3.36, 1 Th 3.44, 6 Nd 3.46
Th1 0.0000 0.0000 0.0000 x3  2 Nd 3.44, 6 Th 3.46
Sn1 0.0000 0.0000 0.5000 x3  6 Nd 3.36, 6 Sn 3.46

Results
**Theoretical density**: 8.321 g cm⁻³
**DFT total energy**: -5.243 eV/atom
**E_form**: -0.0035 eV per atom



(6)
# NdThZnSn

Crystalline NdThZnSn at its relaxed geometry (PBE-GGA, Alexandria).

abc: 7.5877 7.5877 7.5877
angles: 90.00 90.00 90.00
Last column: nearest neighbours and their distance in Å.
Space group F-43m (No. 216)
Inequivalent atoms, fractional coordinates:
Nd1 0.0000 0.0000 0.0000 x4  4 Sn 3.29, 4 Zn 3.29
Th1 0.0000 0.0000 0.5000 x4  4 Sn 3.29, 4 Zn 3.29
Zn1 0.2500 0.2500 0.2500 x4  4 Th 3.29, 4 Nd 3.29
Sn1 0.2500 0.2500 0.7500 x4  4 Th 3.29, 4 Nd 3.29

Results
**Theoretical density**: 8.521 g cm⁻³
**DFT total energy**: -4.731 eV/atom
**E_form**: -0.3647 eV per atom



(7)
# Nd2ThZn2Sn2

Crystalline Nd2ThZn2Sn2 at its relaxed geometry (PBE-GGA, Alexandria).

abc: 4.4382 4.4382 34.4360
angles: 90.00 90.00 120.00
Last column: nearest neighbours and their distance in Å.
Space group R-3m (No. 166, hexagonal axes)
Inequivalent atoms, fractional coordinates:
Nd1 0.0000 0.0000 0.1261 x6  3 Sn 3.22
Th1 0.0000 0.0000 0.0000 x3  6 Zn 3.11
Zn1 0.0000 0.0000 0.3846 x6  3 Sn 2.64
Sn1 0.0000 0.0000 0.2636 x6  3 Zn 2.64

Results
**Theoretical density**: 7.537 g cm⁻³
**DFT total energy**: -4.282 eV/atom
**E_form**: -0.3519 eV per atom



(8)
# NdTiSn

Crystalline NdTiSn at its relaxed geometry (PBE-GGA, Alexandria).

abc: 15.4708 3.3360 5.7765
angles: 90.00 90.00 90.00
Last column: nearest neighbours and their distance in Å.
Space group Amm2 (No. 38)
Inequivalent atoms, fractional coordinates:
Nd1 0.1832 0.0000 0.0000 x4  3 Ti 3.25-3.26, 6 Nd 3.34, 3 Sn 3.42-3.43
Ti1 0.3526 0.0000 0.3341 x4  3 Sn 2.98-2.99, 3 Nd 3.25-3.26, 6 Ti 3.34
Sn1 0.0000 0.0000 0.3330 x2  6 Sn 3.34, 6 Nd 3.42-3.43
Sn2 0.5000 0.0000 0.0012 x2  6 Ti 2.98-2.99, 6 Sn 3.34

Results
**Theoretical density**: 6.925 g cm⁻³
**DFT total energy**: -5.566 eV/atom
**E_form**: -0.0103 eV per atom